The following is a PBE-GGA calculation of a geometry-optimized Ho2PdRh structure, from Alexandria.

CIF file:
```
data_Ho2PdRh
_chemical_formula_sum 'Ho2 Pd1 Rh1'
_cell_length_a 4.880
_cell_length_b 4.880
_cell_length_c 4.880
_cell_angle_alpha 60.00
_cell_angle_beta 60.00
_cell_angle_gamma 60.00
_space_group_name_H-M_alt 'P 1'
_space_group_IT_number 1
loop_
_space_group_symop_operation_xyz
'x,y,z'
loop_
_atom_site_label
_atom_site_type_symbol
_atom_site_fract_x
_atom_site_fract_y
_atom_site_fract_z
_atom_site_occupancy
Ho1 Ho 0.250 0.250 0.250 1
Ho2 Ho 0.750 0.750 0.750 1
Pd1 Pd 0.000 0.000 0.000 1
Rh1 Rh 0.500 0.500 0.500 1
```

Properties
ΔE_f, eV/atom: -0.907